{"formula": "HgRuAu", "functional": "PBEsol", "state": "optimized geometry", "e_above_lowest_polymorph_mev_per_atom": 0, "m_tot_mub_per_fu": 1.75, "dos_ef_per_ev_cell": 5.3, "formation_energy_kcal_per_mol_atoms": 20.121, "density_g_cm3": 13.89, "cell": [[4.385, 0.000, 0.000], [2.193, 3.798, 0.000], [2.193, 1.266, 3.581]], "species": ["Au", "Hg", "Ru"], "frac_coords": [[0.250, 0.250, 0.250], [0.000, 0.000, 0.000], [0.500, 0.500, 0.500]]}

---

{"formula": "HgRu2Au", "functional": "PBEsol", "state": "optimized geometry", "m_tot_mub_per_fu": 0.00, "dos_ef_per_ev_cell": 4.0, "formation_energy_kcal_per_mol_atoms": 10.078, "density_g_cm3": 15.82, "cell": [[-1.830, -1.220, 1.818], [3.276, -3.284, -1.146], [2.295, 2.170, 3.765]], "species": ["Au", "Hg", "Ru", "Ru"], "frac_coords": [[0.496, 0.991, 0.502], [0.253, 0.505, 0.742], [0.009, 0.017, 0.037], [0.743, 0.486, 0.219]]}

---

{"formula": "HgRu2Au", "functional": "PBEsol", "state": "optimized geometry", "m_tot_mub_per_fu": 1.03, "dos_ef_per_ev_cell": 6.2, "formation_energy_kcal_per_mol_atoms": 14.285, "density_g_cm3": 15.88, "cell": [[-0.565, -3.955, -0.283], [3.779, -0.624, 1.176], [-2.783, 2.191, 3.278]], "species": ["Au", "Hg", "Ru", "Ru"], "frac_coords": [[0.500, 0.000, 0.000], [0.000, 0.500, 0.000], [0.750, 0.750, 0.500], [0.250, 0.250, 0.500]]}